DFT (PBE+U) results for crystalline SrCr2WO8 at its relaxed geometry.

As for the total DFT energy (no corrections): -7.20 eV/atom.

The space group is C2/m (No. 12) and the conventional cell measures 7.794, 6.124 and 6.952 Å, with angles of 90.00, 102.02 and 90.00 degrees. The inequivalent atoms are Sr at (0.000, 0.000, 0.000), Cr at (0.058, 0.500, 0.223), W at (0.000, 0.000, 0.500), O at (0.005, 0.224, 0.707), O at (0.159, 0.500, 0.016) and O at (0.247, 0.000, 0.563).